Entry 1:
ReRhW2 at its PBEsol-relaxed geometry. Source: the Alexandria database, functional SCAN.

Summary:
ΔE to the lowest computed polymorph (meV/atom): 42
Energy of formation (meV/atom): 54
Total energy (eV/atom): -61.0069
D(E_F) (states/eV/f.u.): 3.2

Structure (CIF):
```
data_ReRhW2
_chemical_formula_sum 'Re1 Rh1 W2'
_space_group_name_H-M_alt 'P m m m'
_space_group_IT_number 47
_cell_length_a 2.7475
_cell_length_b 3.8938
_cell_length_c 5.5601
_cell_angle_alpha 90.00
_cell_angle_beta 90.00
_cell_angle_gamma 90.00
loop_
_space_group_symop_operation_xyz
'x,y,z'
'-x,-y,-z'
'-x,-y,z'
'x,y,-z'
'x,-y,-z'
'-x,y,z'
'-x,y,-z'
'x,-y,z'
loop_
_atom_site_label
_atom_site_fract_x
_atom_site_fract_y
_atom_site_fract_z
_atom_site_occupancy
Re1 0.0000 0.0000 0.0000 1
Rh1 0.0000 0.0000 0.5000 1
W1 0.5000 0.5000 0.2497 1
```

=====

Entry 2:
ReRhW2 at its PBEsol-relaxed geometry. Source: the Alexandria database, functional SCAN.

Summary:
ΔE to the lowest computed polymorph (meV/atom): 0
Energy of formation (meV/atom): 13
Total energy (eV/atom): -61.0485
D(E_F) (states/eV/f.u.): 2.3

Structure (CIF):
```
data_ReRhW2
_chemical_formula_sum 'Re2 Rh2 W4'
_space_group_name_H-M_alt 'C m m m'
_space_group_IT_number 65
_space_group_name_Hall '-C 2 2'
_cell_length_a 5.5545
_cell_length_b 7.7950
_cell_length_c 2.7444
_cell_angle_alpha 90.00
_cell_angle_beta 90.00
_cell_angle_gamma 90.00
loop_
_atom_site_label
_atom_site_fract_x
_atom_site_fract_y
_atom_site_fract_z
_atom_site_occupancy
Re1 0.0000 0.0000 0.0000 1
Rh1 0.0000 0.5000 0.0000 1
W1 0.2500 0.2500 0.5000 1
```

=====

Entry 3:
Re2RhW at its PBEsol-relaxed geometry. Source: the Alexandria database, functional SCAN.

Summary:
ΔE to the lowest computed polymorph (meV/atom): 133
Energy of formation (meV/atom): 75
Total energy (eV/atom): -61.3386
D(E_F) (states/eV/f.u.): 2.7

Structure (CIF):
```
data_Re2RhW
_chemical_formula_sum 'Re2 Rh1 W1'
_space_group_name_H-M_alt 'P 1 2/m 1'
_space_group_IT_number 10
_cell_length_a 2.6490
_cell_length_b 4.0381
_cell_length_c 5.5248
_cell_angle_alpha 90.00
_cell_angle_beta 94.46
_cell_angle_gamma 90.00
loop_
_space_group_symop_operation_xyz
'x,y,z'
'-x,-y,-z'
'-x,y,-z'
'x,-y,z'
loop_
_atom_site_label
_atom_site_fract_x
_atom_site_fract_y
_atom_site_fract_z
_atom_site_occupancy
Re1 0.0499 0.0000 0.2365 1
Rh1 0.5000 0.5000 0.0000 1
W1 0.5000 0.5000 0.5000 1
```

=====

Entry 4:
ReRhW2 at its PBEsol-relaxed geometry. Source: the Alexandria database, functional SCAN.

Summary:
ΔE to the lowest computed polymorph (meV/atom): 90
Energy of formation (meV/atom): 103
Total energy (eV/atom): -60.9586
D(E_F) (states/eV/f.u.): 3.2

Structure (CIF):
```
data_ReRhW2
_chemical_formula_sum 'Re2 Rh2 W4'
_space_group_name_H-M_alt 'C 1 2/m 1'
_space_group_IT_number 12
_cell_length_a 9.1291
_cell_length_b 2.7344
_cell_length_c 4.8328
_cell_angle_alpha 90.00
_cell_angle_beta 99.43
_cell_angle_gamma 90.00
loop_
_space_group_symop_operation_xyz
'x,y,z'
'-x,-y,-z'
'-x,y,-z'
'x,-y,z'
'x+1/2,y+1/2,z'
'-x+1/2,-y+1/2,-z'
'-x+1/2,y+1/2,-z'
'x+1/2,-y+1/2,z'
loop_
_atom_site_label
_atom_site_fract_x
_atom_site_fract_y
_atom_site_fract_z
_atom_site_occupancy
Re1 0.0000 0.0000 0.0000 1
Rh1 0.0000 0.5000 0.5000 1
W1 0.2455 0.0000 0.7467 1
```

=====

Entry 5:
Re2RhW at its PBEsol-relaxed geometry. Source: the Alexandria database, functional SCAN.

Summary:
ΔE to the lowest computed polymorph (meV/atom): 53
Energy of formation (meV/atom): -5
Total energy (eV/atom): -61.4188
D(E_F) (states/eV/f.u.): 3.1

Structure (CIF):
```
data_Re2RhW
_chemical_formula_sum 'Re2 Rh1 W1'
_space_group_name_H-M_alt 'P m m 2'
_space_group_IT_number 25
_cell_length_a 2.7338
_cell_length_b 3.8828
_cell_length_c 5.5001
_cell_angle_alpha 90.00
_cell_angle_beta 90.00
_cell_angle_gamma 90.00
loop_
_space_group_symop_operation_xyz
'x,y,z'
'-x,-y,z'
'-x,y,z'
'x,-y,z'
loop_
_atom_site_label
_atom_site_fract_x
_atom_site_fract_y
_atom_site_fract_z
_atom_site_occupancy
Re1 0.0000 0.0000 0.0000 1
Re2 0.5000 0.5000 0.2298 1
Rh1 0.0000 0.0000 0.4894 1
W1 0.5000 0.5000 0.7354 1
```

=====

Entry 6:
Re2RhW at its PBEsol-relaxed geometry. Source: the Alexandria database, functional SCAN.

Summary:
ΔE to the lowest computed polymorph (meV/atom): 67
Energy of formation (meV/atom): 9
Total energy (eV/atom): -61.4046
D(E_F) (states/eV/f.u.): 2.6

Structure (CIF):
```
data_Re2RhW
_chemical_formula_sum 'Re4 Rh2 W2'
_space_group_name_H-M_alt 'I 4/m m m'
_space_group_IT_number 139
_space_group_name_Hall '-I 4 2'
_cell_length_a 3.8668
_cell_length_b 3.8668
_cell_length_c 7.7925
_cell_angle_alpha 90.00
_cell_angle_beta 90.00
_cell_angle_gamma 90.00
loop_
_atom_site_label
_atom_site_fract_x
_atom_site_fract_y
_atom_site_fract_z
_atom_site_occupancy
Re1 0.0000 0.5000 0.2500 1
Rh1 0.0000 0.0000 0.0000 1
W1 0.0000 0.0000 0.5000 1
```

=====

Entry 7:
Re2RhW at its PBEsol-relaxed geometry. Source: the Alexandria database, functional SCAN.

Summary:
ΔE to the lowest computed polymorph (meV/atom): 53
Energy of formation (meV/atom): -5
Total energy (eV/atom): -61.4190
D(E_F) (states/eV/f.u.): 2.4

Structure (CIF):
```
data_Re2RhW
_chemical_formula_sum 'Re2 Rh1 W1'
_space_group_name_H-M_alt 'P 4 m m'
_space_group_IT_number 99
_cell_length_a 2.7391
_cell_length_b 2.7391
_cell_length_c 7.7868
_cell_angle_alpha 90.00
_cell_angle_beta 90.00
_cell_angle_gamma 90.00
loop_
_space_group_symop_operation_xyz
'x,y,z'
'-y,x,z'
'-x,-y,z'
'y,-x,z'
'-x,y,z'
'y,x,z'
'x,-y,z'
'-y,-x,z'
loop_
_atom_site_label
_atom_site_fract_x
_atom_site_fract_y
_atom_site_fract_z
_atom_site_occupancy
Re1 0.0000 0.0000 0.0000 1
Re2 0.5000 0.5000 0.2405 1
Rh1 0.0000 0.0000 0.4894 1
W1 0.5000 0.5000 0.7385 1
```

=====

Entry 8:
YRe2Rh at its PBEsol-relaxed geometry. Source: the Alexandria database, functional SCAN.

Summary:
Energy of formation (meV/atom): 424
Total energy (eV/atom): -50.5280
D(E_F) (states/eV/f.u.): 3.3

Structure (CIF):
```
data_YRe2Rh
_chemical_formula_sum 'Y1 Re2 Rh1'
_space_group_name_H-M_alt 'P 4/m m m'
_space_group_IT_number 123
_space_group_name_Hall '-P 4 2'
_cell_length_a 3.2484
_cell_length_b 3.2484
_cell_length_c 6.6409
_cell_angle_alpha 90.00
_cell_angle_beta 90.00
_cell_angle_gamma 90.00
loop_
_atom_site_label
_atom_site_fract_x
_atom_site_fract_y
_atom_site_fract_z
_atom_site_occupancy
Y1 0.0000 0.0000 0.0000 1
Re1 0.5000 0.5000 0.3093 1
Rh1 0.0000 0.0000 0.5000 1
```